No. 1
7
Lattice="5.093 0.000 0.000 0.000 5.093 0.000 2.547 2.547 6.529" Properties=species:S:1:pos:R:3 comment="PBE InIr2Au4, relaxed" spacegroup="I4/mmm, No. 139" formation_enthalpy_0k_mev_per_atom=1034 n_ef_per_ev_atom=0.736 pbc="T T T"
Au 2.547 2.547 3.812
Au 5.093 5.093 2.717
Au 0.000 2.547 0.000
Au 2.547 0.000 0.000
Ir 2.547 2.547 1.231
Ir 5.093 5.093 5.298
In 0.000 0.000 0.000

=====

No. 2
8
Lattice="-0.832 2.855 -3.051 -2.055 -2.988 -2.236 -7.387 2.102 3.981" Properties=species:S:1:pos:R:3 comment="PBE PaGeRhSe, relaxed" spacegroup="P4/nmm, No. 129" e_tot_ev_per_atom=-7.11 n_ef_per_ev_atom=0.663 pbc="T T T"
Ge -7.202 0.263 2.210
Ge -1.628 1.773 -0.872
Pa -3.012 -0.929 -0.049
Pa -5.818 2.965 1.386
Rh -1.444 -0.066 -2.643
Rh 0.000 0.000 0.000
Se -3.693 1.051 1.991
Se -5.137 0.985 -0.653

=====

No. 3
8
Lattice="-1.174 -7.676 -0.995 1.797 0.709 -7.586 2.612 -3.901 -3.784" Properties=species:S:1:pos:R:3 comment="PBE LiZn2P, relaxed" spacegroup="I-42d, No. 122" formation_enthalpy_0k_mev_per_atom=-89 n_ef_per_ev_atom=0.438 pbc="T T T"
Li 0.312 -3.483 -4.290
Li 2.361 -3.338 -7.830
P 0.875 -7.530 -4.535
P 0.000 0.000 0.000
Zn 0.048 -6.311 -2.598
Zn 1.726 -0.864 -5.730
Zn 2.046 -5.596 -5.436
Zn 2.652 -8.964 -10.967

=====

No. 4
4
Lattice="-0.543 1.391 -2.364 -4.890 0.410 1.364 0.924 3.962 2.119" Properties=species:S:1:pos:R:3 comment="PBE TaSi, relaxed" spacegroup="Pmmn, No. 59" e_tot_ev_per_atom=-8.74 n_ef_per_ev_atom=0.608 pbc="T T T"
Si -1.979 4.064 1.192
Si 0.032 0.138 0.074
Ta 0.224 2.822 -0.045
Ta -2.171 1.380 1.311

=====

No. 5
4
Lattice="5.858 0.000 0.000 2.929 5.073 0.000 2.929 1.691 4.783" Properties=species:S:1:pos:R:3 comment="PBE AcCeGd2, relaxed" spacegroup="Fm-3m, No. 225" formation_enthalpy_0k_mev_per_atom=193 n_ef_per_ev_atom=2.848 pbc="T T T"
Ce 0.000 0.000 0.000
Ac 5.858 3.382 2.391
Gd 2.929 1.691 1.196
Gd 8.786 5.073 3.587

=====

No. 6
12
Lattice="7.344 0.000 0.000 0.000 7.344 0.000 -3.672 -3.672 7.343" Properties=species:S:1:pos:R:3 comment="PBE Pm8Sn3Rh, relaxed" spacegroup="I4/mmm, No. 139" formation_enthalpy_0k_mev_per_atom=-415 n_ef_per_ev_atom=1.184 pbc="T T T"
Pm 1.744 1.744 1.741
Pm -1.928 -1.928 5.602
Pm -1.928 1.928 5.602
Pm 5.600 1.744 1.741
Pm 1.928 1.928 5.602
Pm 1.744 5.600 1.741
Pm 1.928 -1.928 5.602
Pm 5.600 5.600 1.741
Rh 0.000 0.000 0.000
Sn 3.672 3.672 0.000
Sn 3.672 0.000 3.671
Sn 0.000 3.672 3.671

=====

No. 7
10
Lattice="-2.412 1.847 1.770 1.118 -1.426 3.013 12.337 14.104 2.094" Properties=species:S:1:pos:R:3 comment="PBE Er5ScZn4, relaxed" spacegroup="P4/mmm, No. 123" formation_enthalpy_0k_mev_per_atom=-269 n_ef_per_ev_atom=1.042 pbc="T T T"
Er 7.847 9.922 3.833
Er 0.867 1.942 2.648
Er 10.176 12.583 4.228
Er 3.196 4.604 3.043
Er 5.521 7.263 3.438
Zn 4.998 5.714 0.849
Zn 9.662 11.046 1.640
Zn 2.675 3.058 0.454
Zn 7.338 8.390 1.246
Sc 0.000 0.000 0.000

=====

No. 8
5
Lattice="5.661 0.000 0.000 0.000 5.661 0.000 0.000 0.000 5.661" Properties=species:S:1:pos:R:3 comment="PBE SbTe3F, relaxed" spacegroup="Pm-3m, No. 221" e_tot_ev_per_atom=-2.64 n_ef_per_ev_atom=1.660 pbc="T T T"
Sb 0.000 0.000 0.000
Te 0.000 0.000 2.831
Te 2.831 0.000 0.000
Te 0.000 2.831 0.000
F 2.831 2.831 2.831

=====

Respective calculated density values: 12.62; 10.27; 3.82; 10.63; 7.96; 6.79; 8.14; 4.79 g/cm3.